## In2Hg3 (PBE-GGA)

Data for a geometry-optimized In2Hg3 structure.

abc: 3.7130 3.7130 11.3753
angles: 90.00 90.00 120.00
With the nearest neighbours (Å) after each atom.
Positions (direct):
In1 0.3333 0.6667 0.3018  6 Hg 3.11-3.15
In2 0.6667 0.3333 0.6982  6 Hg 3.11-3.15
Hg1 0.0000 0.0000 0.5000  6 In 3.11
Hg2 0.3333 0.6667 0.9007  3 Hg 3.11, 3 In 3.15
Hg3 0.6667 0.3333 0.0993  3 Hg 3.11, 3 In 3.15

Results
crystal system = trigonal
size of the total moment = 0.0 μB per cell
DFT total energy = -1.263 eV per atom
energy above the most stable polymorph in this dataset = 0.6 kJ/mol of atoms
ΔH_f (0 K) = 1.34 kJ/mol of atoms

=====

## K3Tb2InSe6 (PBE-GGA)

Data for a geometry-optimized K3Tb2InSe6 structure.

abc: 7.2680 7.2680 8.0790
angles: 98.63 98.63 120.01
With the nearest neighbours (Å) after each atom.
Positions (direct):
K1 0.0000 0.0000 0.0000  6 Se 3.31-3.36
K2 0.3325 0.6675 0.0000  6 Se 3.31-3.35
K3 0.6675 0.3325 0.0000  6 Se 3.31-3.35
Tb1 0.1665 0.8335 0.5000  6 Se 2.91
Tb2 0.8335 0.1665 0.5000  6 Se 2.91
In1 0.5000 0.5000 0.5000  6 Se 2.85
Se1 0.1052 0.4320 0.2959  1 In 2.85, 2 Tb 2.91
Se2 0.2414 0.2414 0.7043  1 In 2.85, 2 Tb 2.91
Se3 0.4320 0.1052 0.2959  1 In 2.85, 2 Tb 2.91
Se4 0.5680 0.8948 0.7041  1 In 2.85, 2 Tb 2.91
Se5 0.7586 0.7586 0.2957  1 In 2.85, 2 Tb 2.91
Se6 0.8948 0.5680 0.7041  1 In 2.85, 2 Tb 2.91

Results
ΔE_f (raw) = -1.439 eV/atom
crystal system = monoclinic
size of the total moment = 0.0 μB per cell
DFT total energy = -4.455 eV per atom

=====

## AlGe2SbCl (PBE-GGA)

Data for a geometry-optimized AlGe2SbCl structure.

abc: 5.0340 5.0340 5.0669
angles: 90.00 90.00 90.00
With the nearest neighbours (Å) after each atom.
Positions (direct):
Al1 0.0000 0.0000 0.0000  2 Cl 2.53
Ge1 0.0000 0.5000 0.5000  2 Cl 2.52
Ge2 0.5000 0.0000 0.5000  2 Cl 2.52
Sb1 0.5000 0.5000 0.0000  4 Al 3.56, 8 Ge 3.57
Cl1 0.0000 0.0000 0.5000  4 Ge 2.52, 2 Al 2.53

Results
ΔE_f (raw) = 0.602 eV/atom
crystal system = tetragonal
size of the total moment = 0.0 μB per cell
DFT total energy = -3.187 eV per atom

=====

## TiSCl3 (PBE-GGA)

Data for a geometry-optimized TiSCl3 structure.

abc: 4.9516 4.9516 4.9516
angles: 90.00 90.00 90.00
With the nearest neighbours (Å) after each atom.
Positions (direct):
Ti1 0.0000 0.0000 0.0000  12 Cl 3.50
S1 0.5000 0.5000 0.5000  6 Cl 2.48
Cl1 0.0000 0.5000 0.5000  2 S 2.48
Cl2 0.5000 0.0000 0.5000  2 S 2.48
Cl3 0.5000 0.5000 0.0000  2 S 2.48

Results
ΔE_f (raw) = 0.511 eV/atom
crystal system = cubic
size of the total moment = 0.2 μB per cell
DFT total energy = -3.002 eV per atom